# 1
! PBE LaY2Ru, relaxed; values from VASP
! **Calculated total energy**: -6.95 eV per atom
! **Magnetic moment**: 0.0000 μB per atom
&SYSTEM
  ibrav = 0, nat = 4, ntyp = 3
/
ATOMIC_SPECIES
Y 88.91 Y.upf
La 138.91 La.upf
Ru 101.07 Ru.upf
CELL_PARAMETERS angstrom
6.323 0.006 -0.023
5.244 3.534 -0.023
2.358 0.722 4.907
ATOMIC_POSITIONS crystal
Y 0.944 0.944 0.064
La 0.556 0.556 0.453
Ru 0.249 0.249 0.223
Y 0.752 0.752 0.760

---

# 2
! PBE Na3CrRh3S8, relaxed; values from VASP
! **Formation energy (no corrections)**: -0.694 eV/atom
! **Magnetic moment**: 0.1593 μB per atom
&SYSTEM
  ibrav = 0, nat = 15, ntyp = 4
/
ATOMIC_SPECIES
Na 22.99 Na.upf
S 32.06 S.upf
Cr 52.00 Cr.upf
Rh 102.91 Rh.upf
CELL_PARAMETERS angstrom
-0.753 -4.344 -5.624
5.919 -0.322 3.995
-6.495 -2.751 2.995
ATOMIC_POSITIONS crystal
Na 0.000 0.500 0.000
S 0.769 0.538 0.308
S 0.271 0.542 0.313
Cr 0.000 0.000 0.500
S 0.231 0.462 0.692
S 0.730 0.961 0.692
Rh 0.500 0.000 0.500
S 0.231 0.961 0.692
Na 0.000 0.000 0.000
S 0.729 0.458 0.687
S 0.769 0.039 0.308
Rh 0.500 0.500 0.500
S 0.270 0.039 0.308
Rh 0.000 0.500 0.500
Na 0.500 0.500 0.000

---

# 3
! PBE Li2Cd8Rh3, relaxed; values from VASP
! **Calculated total energy**: -2.60 eV per atom
! **Magnetic moment**: 0.0000 μB per atom
&SYSTEM
  ibrav = 0, nat = 13, ntyp = 3
/
ATOMIC_SPECIES
Cd 112.41 Cd.upf
Li 6.94 Li.upf
Rh 102.91 Rh.upf
CELL_PARAMETERS angstrom
4.557 0.000 0.000
0.000 7.729 -4.272
0.000 -0.528 7.723
ATOMIC_POSITIONS crystal
Cd 0.500 0.867 0.257
Cd 0.000 0.871 0.734
Li 0.500 0.249 0.478
Rh 0.000 0.761 0.005
Cd 0.500 0.383 0.230
Cd 0.000 0.129 0.266
Cd 0.000 0.618 0.248
Cd 0.500 0.617 0.770
Cd 0.000 0.382 0.752
Rh 0.000 0.239 0.995
Cd 0.500 0.133 0.743
Li 0.500 0.751 0.522
Rh 0.500 0.000 0.000

---

# 4
! PBE LiPaZnO4, relaxed; values from VASP
! **Formation energy (no corrections)**: -2.548 eV/atom
! **Magnetic moment**: 0.0000 μB per atom
&SYSTEM
  ibrav = 0, nat = 14, ntyp = 4
/
ATOMIC_SPECIES
O 16.00 O.upf
Zn 65.41 Zn.upf
Pa 231.04 Pa.upf
Li 6.94 Li.upf
CELL_PARAMETERS angstrom
6.093 0.000 0.000
-3.046 5.610 -0.740
0.000 -3.686 6.062
ATOMIC_POSITIONS crystal
O 0.739 0.478 0.698
O 0.288 0.022 0.761
Zn 0.500 0.500 0.500
O 0.712 0.978 0.239
Pa 0.500 0.000 0.000
Li 0.129 0.259 0.879
O 0.261 0.522 0.302
Zn 0.000 0.500 0.500
Pa 0.500 0.000 0.500
O 0.261 0.522 0.720
O 0.266 0.978 0.239
O 0.734 0.022 0.761
Li 0.871 0.741 0.121
O 0.739 0.478 0.280

---

# 5
! PBE BaCdPb, relaxed; values from VASP
! **Calculated total energy**: -2.58 eV per atom
! **Magnetic moment**: 0.0000 μB per atom
&SYSTEM
  ibrav = 0, nat = 6, ntyp = 3
/
ATOMIC_SPECIES
Cd 112.41 Cd.upf
Pb 207.20 Pb.upf
Ba 137.33 Ba.upf
CELL_PARAMETERS angstrom
6.518 -0.135 -0.094
0.168 6.536 -0.086
-2.800 3.702 4.618
ATOMIC_POSITIONS crystal
Cd 0.184 0.715 0.654
Pb 0.684 0.715 0.654
Ba 0.562 0.087 0.904
Cd 0.184 0.215 0.154
Ba 0.805 0.344 0.404
Pb 0.184 0.716 0.154

---

# 6
! PBE Zr2ScCr, relaxed; values from VASP
! **Calculated total energy**: -8.04 eV per atom
! **Magnetic moment**: 0.6727 μB per atom
&SYSTEM
  ibrav = 0, nat = 4, ntyp = 3
/
ATOMIC_SPECIES
Sc 44.96 Sc.upf
Zr 91.22 Zr.upf
Cr 52.00 Cr.upf
CELL_PARAMETERS angstrom
4.382 0.197 0.000
-0.194 4.382 0.000
0.000 0.000 4.390
ATOMIC_POSITIONS crystal
Sc 0.000 0.500 0.500
Zr 0.000 0.000 0.000
Cr 0.500 0.000 0.500
Zr 0.500 0.500 0.000

---

# 7
! PBE Ba4Bi3PbO12, relaxed; values from VASP
! **Formation energy (no corrections)**: -1.766 eV/atom
! **Magnetic moment**: 0.0000 μB per atom
&SYSTEM
  ibrav = 0, nat = 20, ntyp = 4
/
ATOMIC_SPECIES
Bi 208.98 Bi.upf
O 16.00 O.upf
Ba 137.33 Ba.upf
Pb 207.20 Pb.upf
CELL_PARAMETERS angstrom
7.634 0.000 0.000
-2.545 7.197 0.000
-2.545 -3.599 6.233
ATOMIC_POSITIONS crystal
Bi 0.500 0.500 0.000
O 0.750 0.250 0.500
O 0.250 0.500 0.750
Ba 0.500 0.000 0.000
O 0.750 0.500 0.250
O 0.750 0.750 0.000
Ba 0.000 0.000 0.500
O 0.250 0.750 0.500
Pb 0.000 0.000 0.000
O 0.500 0.750 0.250
Bi 0.000 0.500 0.500
O 0.250 0.250 0.000
O 0.500 0.250 0.750
O 0.000 0.250 0.250
Bi 0.500 0.000 0.500
Ba 0.000 0.500 0.000
O 0.750 0.000 0.750
Ba 0.500 0.500 0.500
O 0.250 0.000 0.250
O 0.000 0.750 0.750

---

# 8
! PBE Tc2AuCl, relaxed; values from VASP
! **Formation energy (no corrections)**: 0.898 eV/atom
! **Magnetic moment**: 0.1108 μB per atom
&SYSTEM
  ibrav = 0, nat = 4, ntyp = 3
/
ATOMIC_SPECIES
Cl 35.45 Cl.upf
Au 196.97 Au.upf
Tc 98.00 Tc.upf
CELL_PARAMETERS angstrom
2.803 0.000 0.000
0.000 5.161 0.000
0.000 0.000 4.668
ATOMIC_POSITIONS crystal
Cl 0.000 0.500 0.500
Au 0.500 0.000 0.500
Tc 0.500 0.500 0.000
Tc 0.000 0.000 0.000

---

# 9
! PBE La4P3Rh12Pb, relaxed; values from VASP
! **Calculated total energy**: -6.87 eV per atom
! **Magnetic moment**: 0.0000 μB per atom
&SYSTEM
  ibrav = 0, nat = 20, ntyp = 4
/
ATOMIC_SPECIES
Rh 102.91 Rh.upf
P 30.97 P.upf
La 138.91 La.upf
Pb 207.20 Pb.upf
CELL_PARAMETERS angstrom
-3.322 1.591 7.123
3.581 -7.170 0.262
5.431 5.639 -1.736
ATOMIC_POSITIONS crystal
Rh 0.250 0.750 0.500
Rh 0.728 0.000 0.728
Rh 0.500 0.750 0.250
Rh 0.750 0.500 0.250
P 0.000 0.500 0.500
Rh 0.000 0.272 0.272
La 0.000 0.000 0.500
La 0.000 0.500 0.000
Rh 0.750 0.250 0.500
Rh 0.272 0.000 0.272
P 0.500 0.500 0.000
La 0.500 0.000 0.000
Rh 0.250 0.500 0.750
Rh 0.728 0.728 0.000
Rh 0.000 0.728 0.728
P 0.500 0.000 0.500
Rh 0.272 0.272 0.000
Rh 0.500 0.250 0.750
La 0.500 0.500 0.500
Pb 0.000 0.000 0.000

---

# 10
! PBE SnHg2Pd2, relaxed; values from VASP
! **Calculated total energy**: -2.91 eV per atom
! **Magnetic moment**: 0.0000 μB per atom
&SYSTEM
  ibrav = 0, nat = 5, ntyp = 3
/
ATOMIC_SPECIES
Hg 200.59 Hg.upf
Pd 106.42 Pd.upf
Sn 118.71 Sn.upf
CELL_PARAMETERS angstrom
4.041 0.000 0.000
0.000 4.041 0.000
2.021 2.021 6.733
ATOMIC_POSITIONS crystal
Hg 0.609 0.609 0.782
Pd 0.250 0.750 0.500
Pd 0.750 0.250 0.500
Sn 0.000 0.000 0.000
Hg 0.391 0.391 0.218

---

# 11
! PBE NaMn2BSe, relaxed; values from VASP
! **Formation energy (no corrections)**: 0.320 eV/atom
! **Magnetic moment**: 1.4592 μB per atom
&SYSTEM
  ibrav = 0, nat = 5, ntyp = 4
/
ATOMIC_SPECIES
Mn 54.94 Mn.upf
B 10.81 B.upf
Se 78.96 Se.upf
Na 22.99 Na.upf
CELL_PARAMETERS angstrom
-3.434 -1.311 1.880
2.649 -3.619 2.317
0.746 2.563 3.150
ATOMIC_POSITIONS crystal
Mn 0.500 0.000 0.000
B 0.000 0.000 0.000
Se 0.000 0.500 0.000
Mn 0.000 0.000 0.500
Na 0.500 0.500 0.500

---

# 12
! PBE GeAsAu, relaxed; values from VASP
! **Calculated total energy**: -4.08 eV per atom
! **Magnetic moment**: 0.0000 μB per atom
&SYSTEM
  ibrav = 0, nat = 12, ntyp = 3
/
ATOMIC_SPECIES
Au 196.97 Au.upf
Ge 72.64 Ge.upf
As 74.92 As.upf
CELL_PARAMETERS angstrom
6.433 0.000 0.000
0.000 5.924 -1.486
0.000 -0.159 6.703
ATOMIC_POSITIONS crystal
Au 0.834 0.054 0.368
Ge 0.007 0.670 0.829
As 0.619 0.762 0.789
As 0.881 0.262 0.789
Au 0.666 0.554 0.368
As 0.381 0.238 0.211
Au 0.166 0.946 0.632
Ge 0.493 0.170 0.829
Au 0.334 0.446 0.632
As 0.119 0.738 0.211
Ge 0.993 0.330 0.171
Ge 0.507 0.830 0.171

---

# 13
! PBE Sm2HoHf, relaxed; values from VASP
! **Calculated total energy**: -5.83 eV per atom
! **Magnetic moment**: 0.0000 μB per atom
&SYSTEM
  ibrav = 0, nat = 4, ntyp = 3
/
ATOMIC_SPECIES
Sm 150.36 Sm.upf
Ho 164.93 Ho.upf
Hf 178.49 Hf.upf
CELL_PARAMETERS angstrom
-2.638 3.769 -1.538
-2.622 -3.004 -2.864
-3.178 -0.727 3.671
ATOMIC_POSITIONS crystal
Sm 0.000 0.500 0.000
Sm 0.000 0.000 0.500
Ho 0.500 0.500 0.500
Hf 0.500 0.000 0.000

---

# 14
! PBE Pa3SiSe3, relaxed; values from VASP
! **Formation energy (no corrections)**: -0.989 eV/atom
! **Magnetic moment**: 0.1205 μB per atom
&SYSTEM
  ibrav = 0, nat = 14, ntyp = 3
/
ATOMIC_SPECIES
Pa 231.04 Pa.upf
Se 78.96 Se.upf
Si 28.09 Si.upf
CELL_PARAMETERS angstrom
-7.773 1.917 -1.001
-5.273 -1.694 5.867
-3.221 5.950 4.301
ATOMIC_POSITIONS crystal
Pa 0.999 0.999 0.751
Se 0.741 0.259 0.000
Si 0.746 0.746 0.004
Se 0.259 0.741 0.000
Pa 0.001 0.001 0.249
Se 0.741 0.259 0.500
Pa 0.000 0.500 0.755
Si 0.254 0.254 0.996
Se 0.740 0.740 0.510
Se 0.259 0.741 0.500
Se 0.260 0.260 0.490
Pa 0.500 0.000 0.245
Pa 0.000 0.500 0.245
Pa 0.500 0.000 0.755

---

# 15
! PBE NbTl2ZnI, relaxed; values from VASP
! **Formation energy (no corrections)**: 0.702 eV/atom
! **Magnetic moment**: 0.6905 μB per atom
&SYSTEM
  ibrav = 0, nat = 5, ntyp = 4
/
ATOMIC_SPECIES
Tl 204.38 Tl.upf
I 126.90 I.upf
Nb 92.91 Nb.upf
Zn 65.41 Zn.upf
CELL_PARAMETERS angstrom
-1.011 5.244 -0.500
-5.261 -1.024 -0.103
-0.196 0.471 5.339
ATOMIC_POSITIONS crystal
Tl 0.000 0.000 0.500
I 0.500 0.500 0.500
Tl 0.500 0.000 0.000
Nb 0.000 0.500 0.000
Zn 0.000 0.000 0.000

---

# 16
! PBE Tm5Ir4Pb, relaxed; values from VASP
! **Calculated total energy**: -6.99 eV per atom
! **Magnetic moment**: 0.0000 μB per atom
&SYSTEM
  ibrav = 0, nat = 10, ntyp = 3
/
ATOMIC_SPECIES
Tm 168.93 Tm.upf
Ir 192.22 Ir.upf
Pb 207.20 Pb.upf
CELL_PARAMETERS angstrom
-2.650 1.164 -1.592
-0.257 -2.847 -1.654
-11.348 -6.986 13.786
ATOMIC_POSITIONS crystal
Tm 0.500 0.500 0.500
Ir 0.000 0.000 0.592
Tm 0.500 0.500 0.316
Tm 0.500 0.500 0.132
Tm 0.500 0.500 0.684
Tm 0.500 0.500 0.868
Pb 0.000 0.000 0.000
Ir 0.000 0.000 0.780
Ir 0.000 0.000 0.220
Ir 0.000 0.000 0.408

---

# 17
! PBE BaSm2CuO5, relaxed; values from VASP
! **Formation energy (no corrections)**: -2.562 eV/atom
! **Magnetic moment**: 0.1131 μB per atom
&SYSTEM
  ibrav = 0, nat = 18, ntyp = 4
/
ATOMIC_SPECIES
O 16.00 O.upf
Sm 150.36 Sm.upf
Ba 137.33 Ba.upf
Cu 63.55 Cu.upf
CELL_PARAMETERS angstrom
6.695 0.000 0.000
0.000 6.695 0.000
-3.347 -3.347 5.845
ATOMIC_POSITIONS crystal
O 0.768 0.985 0.254
Sm 0.672 0.172 0.000
Sm 0.328 0.828 0.000
Ba 0.750 0.750 0.500
O 0.515 0.732 0.746
O 0.500 0.500 0.000
O 0.015 0.515 0.746
O 0.000 0.000 0.000
Sm 0.172 0.328 0.000
O 0.732 0.232 0.746
Cu 0.250 0.750 0.500
O 0.985 0.485 0.254
O 0.485 0.268 0.254
Sm 0.828 0.672 0.000
Cu 0.750 0.250 0.500
O 0.268 0.768 0.254
Ba 0.250 0.250 0.500
O 0.232 0.015 0.746

---

# 18
! PBE LiAgBr2, relaxed; values from VASP
! **Formation energy (no corrections)**: -0.841 eV/atom
! **Magnetic moment**: 0.0000 μB per atom
&SYSTEM
  ibrav = 0, nat = 4, ntyp = 3
/
ATOMIC_SPECIES
Br 79.90 Br.upf
Ag 107.87 Ag.upf
Li 6.94 Li.upf
CELL_PARAMETERS angstrom
3.959 0.002 -0.001
1.981 3.427 -0.001
1.978 1.142 7.054
ATOMIC_POSITIONS crystal
Br 0.248 0.248 0.254
Br 0.085 0.085 0.746
Ag 0.667 0.667 0.000
Li 0.500 0.500 0.500

---

# 19
! PBE Ho3ScHg4, relaxed; values from VASP
! **Calculated total energy**: -3.12 eV per atom
! **Magnetic moment**: 0.0005 μB per atom
&SYSTEM
  ibrav = 0, nat = 8, ntyp = 3
/
ATOMIC_SPECIES
Hg 200.59 Hg.upf
Ho 164.93 Ho.upf
Sc 44.96 Sc.upf
CELL_PARAMETERS angstrom
-2.632 0.321 -2.508
-2.509 0.116 2.648
1.260 14.670 0.553
ATOMIC_POSITIONS crystal
Hg 0.000 0.000 0.627
Ho 0.500 0.500 0.756
Hg 0.000 0.000 0.887
Sc 0.500 0.500 0.000
Hg 0.000 0.000 0.113
Ho 0.500 0.500 0.244
Ho 0.500 0.500 0.500
Hg 0.000 0.000 0.373

---

# 20
! PBE MgCu2Au2, relaxed; values from VASP
! **Calculated total energy**: -3.45 eV per atom
! **Magnetic moment**: 0.0000 μB per atom
&SYSTEM
  ibrav = 0, nat = 10, ntyp = 3
/
ATOMIC_SPECIES
Cu 63.55 Cu.upf
Au 196.97 Au.upf
Mg 24.30 Mg.upf
CELL_PARAMETERS angstrom
-6.471 -1.228 -2.638
1.809 -6.736 -1.302
-1.034 -0.844 2.930
ATOMIC_POSITIONS crystal
Cu 0.877 0.623 0.000
Cu 0.377 0.877 0.000
Au 0.825 0.325 0.500
Au 0.325 0.175 0.500
Au 0.175 0.675 0.500
Cu 0.123 0.377 0.000
Au 0.675 0.825 0.500
Mg 0.000 0.000 0.000
Mg 0.500 0.500 0.000
Cu 0.623 0.123 0.000